HoAgGe2 (PBE, optimized geometry); energy of formation from the pure elements = -397 meV/atom; magnetization = 0.00 μB/cell; raw total energy = -4.563 eV/atom; crystal system = tetragonal; V = 79.6 Å³ per cell; space-group type = P4/mmm
1.0
4.118 0.000 0.000
0.000 4.396 0.000
0.000 0.000 4.396
Ge Ho Ag
2 1 1
Cartesian
0.000 0.000 2.198
0.000 2.198 0.000
2.059 2.198 2.198
2.059 0.000 0.000